Tl2ZnTe after structural relaxation, computed with PBE.

Cell: 3.8408 3.8408 7.7362 Å, 90.00 90.00 90.00°
Space group P4mm (No. 99)
Asymmetric unit:
1 Tl 0.0000 0.0000 0.0000 (multiplicity 1)
2 Tl 0.5000 0.5000 0.3183 (multiplicity 1)
3 Zn 0.0000 0.0000 0.5514 (multiplicity 1)
4 Te 0.5000 0.5000 0.7334 (multiplicity 1)

density: 8.76 g cm⁻³
formation energy from raw total energies: -0.024 eV per atom
energy: -2.311 eV/atom
polymorph energy (0 for the lowest one): 0.0597 eV per atom